Rb3Cd2I8 | PBE-GGA | relaxed

The structure belongs to space group R-3m (No. 166, hexagonal axes); the cell edges are 8.3403, 8.3403 and 32.1466 Å and the angles 90.00°, 90.00° and 120.00°. The asymmetric unit holds Rb at (0.0000, 0.0000, 0.0000), Rb at (0.0000, 0.0000, 0.2040), Cd at (0.0000, 0.0000, 0.4015), I at (0.0000, 0.0000, 0.3157) and I at (0.0244, 0.5122, 0.7699).

Its density of states at the Fermi level is 46.9 states/eV per cell. The value obtained for the volume is 1937 Å³/cell. The value obtained for the energy is -2.212 eV/atom.